# PBE PPt, optimized geometry
data_PPt
_space_group_name_H-M_alt 'P m -3 m'
_space_group_IT_number 221
_space_group_name_Hall '-P 4 2 3'
_cell_length_a 3.105
_cell_length_b 3.105
_cell_length_c 3.105
_cell_angle_alpha 90.00
_cell_angle_beta 90.00
_cell_angle_gamma 90.00
loop_
_atom_site_label
_atom_site_type_symbol
_atom_site_fract_x
_atom_site_fract_y
_atom_site_fract_z
P1 P 0.000 0.000 0.000
Pt1 Pt 0.500 0.500 0.500
# DFT formation energy: 0.20 eV per formula unit
# density: 12.54 g cm⁻³